Entry 1:
Here is a geometry-optimized Sm4Er3Tm8 structure from the Alexandria database. Energies are from GGA-PBE.

Cell lengths 12.331, 12.331, 12.331 Å; angles 32.39, 32.39, 32.39 degrees
Fractional coordinates of all 15 atoms:
Sm 0.000 0.000 0.000
Sm 0.163 0.163 0.163
Sm 0.500 0.500 0.500
Sm 0.837 0.837 0.837
Er 0.000 0.500 0.500
Er 0.500 0.000 0.500
Er 0.500 0.500 0.000
Tm 0.250 0.250 0.747
Tm 0.250 0.747 0.250
Tm 0.253 0.750 0.750
Tm 0.255 0.255 0.255
Tm 0.745 0.745 0.745
Tm 0.747 0.250 0.250
Tm 0.750 0.253 0.750
Tm 0.750 0.750 0.253

Properties
space group = R-3m, No. 166
crystal system = trigonal
DFT formation energy = 0.13 eV per atom
total magnetic moment = 0.00 μB/atom
ΔE to the lowest computed polymorph = 0.0 meV per atom



Entry 2:
Here is a geometry-optimized AcTlPb4 structure from the Alexandria database. Energies are from GGA-PBE.

Cell lengths 6.585, 6.585, 6.585 Å; angles 60.00, 60.00, 60.00 degrees
Fractional coordinates of all 6 atoms:
Ac 0.000 0.000 0.000
Tl 0.750 0.750 0.750
Pb 0.375 0.375 0.375
Pb 0.375 0.375 0.876
Pb 0.375 0.876 0.375
Pb 0.876 0.375 0.375

Properties
space group = F-43m, No. 216
crystal system = cubic
DFT formation energy = -0.18 eV per atom
total magnetic moment = 0.00 μB/atom
ΔE to the lowest computed polymorph = 0.0 meV per atom



Entry 3:
Here is a geometry-optimized YSbTe2F structure from the Alexandria database. Energies are from GGA-PBE.

Cell lengths 5.362, 5.362, 4.466 Å; angles 90.00, 90.00, 90.00 degrees
Fractional coordinates of all 5 atoms:
Y 0.000 0.000 0.000
Sb 0.500 0.500 0.000
Te 0.000 0.500 0.500
Te 0.500 0.000 0.500
F 0.500 0.500 0.500

Properties
space group = P4/mmm, No. 123
crystal system = tetragonal
total magnetic moment = 0.00 μB/atom
formation energy from raw total energies = -3.32 eV per formula unit
ΔE to the lowest computed polymorph = 0.0 meV per atom



Entry 4:
Here is a geometry-optimized KY2Cr structure from the Alexandria database. Energies are from GGA-PBE.

Cell lengths 6.876, 6.876, 3.383 Å; angles 101.77, 101.77, 119.66 degrees
Fractional coordinates of all 4 atoms:
K 0.000 0.000 0.000
Y 0.000 0.500 0.500
Y 0.500 0.000 0.500
Cr 0.500 0.500 0.000

Properties
space group = C2/m, No. 12
crystal system = monoclinic
DFT formation energy = 0.80 eV per atom
total magnetic moment = 1.11 μB/atom
ΔE to the lowest computed polymorph = 437.7 meV per atom